Entry from Alexandria: an optimized crystal structure of ZrNiGe3 (PBE-GGA).

a b c (Å): 4.572 4.572 4.572
angles (deg): 90.00 90.00 90.00
Positions (direct):
Ni1 0.000 0.000 0.000
Ge1 0.000 0.500 0.000
Ge2 0.000 0.000 0.500
Ge3 0.500 0.000 0.000
Zr1 0.500 0.500 0.500

Output
The calculated volume comes out at 95.6 Å³ per cell. Its magnetic moment is 0.0 μB per cell. The value obtained for the energy relative to the elements is 0.228 eV per atom. For the density of states at the Fermi level, the calculation gives 5.42 states/eV/f.u. The value obtained for the electronic total energy is -27.04 eV/cell.

Entry from Alexandria: an optimized crystal structure of Zr2Ni2Ge3 (PBE-GGA).

a b c (Å): 3.972 6.613 8.811
angles (deg): 90.00 103.03 90.00
Positions (direct):
Zr1 0.156 0.250 0.312
Zr2 0.844 0.750 0.688
Zr3 0.951 0.250 0.902
Zr4 0.049 0.750 0.098
Ni1 0.699 0.948 0.397
Ni2 0.301 0.052 0.603
Ni3 0.301 0.448 0.603
Ni4 0.699 0.552 0.397
Ge1 0.219 0.750 0.438
Ge2 0.781 0.250 0.562
Ge3 0.569 0.448 0.138
Ge4 0.431 0.552 0.862
Ge5 0.431 0.948 0.862
Ge6 0.569 0.052 0.138

Output
The calculated volume comes out at 225.5 Å³ per cell. Its magnetic moment is 0.0 μB per cell. The value obtained for the energy relative to the elements is -0.617 eV per atom. For the density of states at the Fermi level, the calculation gives 3.23 states/eV/f.u. The value obtained for the electronic total energy is -93.66 eV/cell.

Entry from Alexandria: an optimized crystal structure of Zr4NiGe (PBE-GGA).

a b c (Å): 5.378 5.378 5.378
angles (deg): 104.59 104.59 119.75
Positions (direct):
Zr1 0.591 0.091 0.183
Zr2 0.909 0.409 0.817
Zr3 0.091 0.909 0.500
Zr4 0.409 0.591 0.500
Ni1 0.000 0.000 0.000
Ge1 0.500 0.500 0.000

Output
The calculated volume comes out at 116.8 Å³ per cell. Its magnetic moment is 0.0 μB per cell. The value obtained for the energy relative to the elements is -0.490 eV per atom. The polymorph energy (0 for the lowest one) comes out at 0.00 kcal/mol of atoms. For the density of states at the Fermi level, the calculation gives 6.94 states/eV/f.u. The value obtained for the electronic total energy is -47.53 eV/cell.

Entry from Alexandria: an optimized crystal structure of ZrNi3Ge (PBE-GGA).

a b c (Å): 4.634 4.634 4.634
angles (deg): 90.00 90.00 90.00
Positions (direct):
Ni1 0.000 0.500 0.000
Ni2 0.000 0.000 0.500
Ni3 0.500 0.000 0.000
Ge1 0.500 0.500 0.500
Zr1 0.000 0.000 0.000

Output
The calculated volume comes out at 99.5 Å³ per cell. Its magnetic moment is 0.0 μB per cell. The value obtained for the energy relative to the elements is 1.153 eV per atom. The polymorph energy (0 for the lowest one) comes out at 35.45 kcal/mol of atoms. For the density of states at the Fermi level, the calculation gives 3.17 states/eV/f.u. The value obtained for the electronic total energy is -24.75 eV/cell.

Entry from Alexandria: an optimized crystal structure of Zr4Ni5Ge6 (PBE-GGA).

a b c (Å): 3.926 9.093 14.065
angles (deg): 90.00 90.00 102.47
Positions (direct):
Zr1 0.965 0.931 0.265
Zr2 0.035 0.069 0.765
Zr3 0.165 0.330 0.305
Zr4 0.835 0.670 0.805
Zr5 0.817 0.635 0.442
Zr6 0.183 0.365 0.942
Zr7 0.017 0.034 0.501
Zr8 0.983 0.966 0.001
Ni1 0.443 0.886 0.682
Ni2 0.557 0.114 0.182
Ni3 0.147 0.294 0.630
Ni4 0.853 0.706 0.130
Ni5 0.644 0.289 0.481
Ni6 0.356 0.711 0.981
Ni7 0.306 0.612 0.619
Ni8 0.694 0.388 0.119
Ni9 0.343 0.686 0.272
Ni10 0.657 0.314 0.772
Ge1 0.769 0.538 0.255
Ge2 0.423 0.847 0.409
Ge3 0.782 0.565 0.993
Ge4 0.218 0.435 0.493
Ge5 0.440 0.880 0.855
Ge6 0.560 0.120 0.355
Ge7 0.426 0.852 0.130
Ge8 0.574 0.148 0.630
Ge9 0.113 0.227 0.117
Ge10 0.887 0.773 0.617
Ge11 0.577 0.153 0.909
Ge12 0.231 0.462 0.755

Output
The calculated volume comes out at 490.3 Å³ per cell. Its magnetic moment is 0.0 μB per cell. The value obtained for the energy relative to the elements is -0.570 eV per atom. For the density of states at the Fermi level, the calculation gives 11.24 states/eV/f.u. The value obtained for the electronic total energy is -198.69 eV/cell.

Entry from Alexandria: an optimized crystal structure of ZrNiGe (PBE-GGA).

a b c (Å): 3.899 6.595 7.406
angles (deg): 90.00 90.00 90.00
Positions (direct):
Ni1 0.750 0.860 0.438
Ni2 0.250 0.140 0.562
Ni3 0.750 0.360 0.062
Ni4 0.250 0.640 0.938
Ge1 0.750 0.232 0.386
Ge2 0.250 0.768 0.614
Ge3 0.750 0.732 0.114
Ge4 0.250 0.268 0.886
Zr1 0.750 0.482 0.690
Zr2 0.250 0.518 0.310
Zr3 0.750 0.982 0.810
Zr4 0.250 0.018 0.190

Output
The calculated volume comes out at 190.4 Å³ per cell. Its magnetic moment is 0.0 μB per cell. The value obtained for the energy relative to the elements is -0.788 eV per atom. For the density of states at the Fermi level, the calculation gives 0.24 states/eV/f.u. The value obtained for the electronic total energy is -85.24 eV/cell.

Entry from Alexandria: an optimized crystal structure of Zr2NiGe (PBE-GGA).

a b c (Å): 3.802 5.441 7.520
angles (deg): 110.89 90.00 90.00
Positions (direct):
Zr1 0.750 0.215 0.415
Zr2 0.250 0.785 0.585
Zr3 0.250 0.794 0.062
Zr4 0.750 0.206 0.938
Ni1 0.250 0.351 0.205
Ni2 0.750 0.649 0.795
Ge1 0.750 0.660 0.292
Ge2 0.250 0.340 0.708

Output
The calculated volume comes out at 145.3 Å³ per cell. Its magnetic moment is 0.0 μB per cell. The value obtained for the energy relative to the elements is -0.652 eV per atom. For the density of states at the Fermi level, the calculation gives 4.06 states/eV/f.u. The value obtained for the electronic total energy is -60.20 eV/cell.

Entry from Alexandria: an optimized crystal structure of Np3Ge (PBE-GGA).

a b c (Å): 4.260 4.260 5.161
angles (deg): 114.38 114.38 90.00
Each line ends with the local moment (μB).
Positions (direct):
Np1 0.750 0.250 0.500  2.30
Np2 0.250 0.750 0.500  2.30
Np3 0.500 0.500 0.000  1.84
Ge1 0.000 0.000 0.000  -0.06

Output
The calculated volume comes out at 76.0 Å³ per cell. Its magnetic moment is 6.5 μB per cell. The value obtained for the energy relative to the elements is 0.106 eV per atom. The polymorph energy (0 for the lowest one) comes out at 3.80 kcal/mol of atoms. For the density of states at the Fermi level, the calculation gives 10.85 states/eV/f.u. The value obtained for the electronic total energy is -43.01 eV/cell.